RbVCd2O4 | GGA+U | optimized geometry

Calculated values
The theoretical density is 4.9 g cm⁻³. The electronic total energy comes out at -5.084 eV/atom. The value obtained for the magnetic moment is 0.000 μB per atom.

```
data_RbVCd2O4
_symmetry_space_group_name_H-M 'C 1 m 1'
_symmetry_Int_Tables_number 8
_symmetry_space_group_name_Hall 'C -2y'
_cell_length_a 7.175
_cell_length_b 8.949
_cell_length_c 5.705
_cell_angle_alpha 90.00
_cell_angle_beta 128.80
_cell_angle_gamma 90.00
loop_
_atom_site_label
_atom_site_type_symbol
_atom_site_fract_x
_atom_site_fract_y
_atom_site_fract_z
Rb1 Rb 0.000 0.000 0.000
V1 V 0.000 0.500 0.000
Cd1 Cd 0.499 0.250 0.500
O1 O 0.018 0.500 0.323
O2 O 0.143 0.339 0.000
O3 O 0.196 0.000 0.677
```